Material: DyGaSi
Method: DFT, PBE-GGA
State: optimized geometry

Cell and atoms, written as extended XYZ:
```
6
Lattice="7.332 -2.071 0.000 7.332 2.071 0.000 -1.131 0.000 3.925" Properties=species:S:1:pos:R:3 pbc="T T T"
Dy 1.288 0.000 1.459
Dy 12.245 0.000 2.466
Ga 4.268 0.000 0.005
Ga 9.265 0.000 3.920
Si 6.491 0.000 0.821
Si 7.042 0.000 3.104
```

Values from the calculation:
- V: 19.9 Å³ per atom
- Magnetic moment: 0.00 μB/atom
- DFT total energy: -4.997 eV per atom